[1]
This record from Alexandria via LeMat-Bulk describes a crystal of SrAuSe2 relaxed with PBEsol. The functional is SCAN.

Lattice parameters (Å, degrees): 3.817 3.817 6.303 90.00 90.00 90.00
Space group P4/mmm (No. 123)
One atom of each set of equivalent atoms:
Sr1 0.000 0.000 0.000 (multiplicity 1)
Au1 0.000 0.000 0.500 (multiplicity 1)
Se1 0.500 0.500 0.266 (multiplicity 2)

## Properties
Relative energy among the computed polymorphs   276 meV per atom

=====

[2]
This record from Alexandria via LeMat-Bulk describes a crystal of K2NaDyCl6 relaxed with PBEsol. The functional is SCAN.

Lattice parameters (Å, degrees): 10.514 10.514 10.514 90.00 90.00 90.00
Space group Fm-3m (No. 225)
One atom of each set of equivalent atoms:
K1 0.250 0.250 0.250 (multiplicity 8)
Na1 0.000 0.000 0.000 (multiplicity 4)
Dy1 0.000 0.000 0.500 (multiplicity 4)
Cl1 0.000 0.000 0.254 (multiplicity 24)

## Properties
DFT total energy   -13.950 eV/atom

=====

[3]
This record from Alexandria via LeMat-Bulk describes a crystal of CdCoSe relaxed with PBEsol. The functional is SCAN.

Lattice parameters (Å, degrees): 3.8904 3.8904 3.9143 90.00 90.00 120.00
Space group P-6m2 (No. 187)
One atom of each set of equivalent atoms:
Cd1 0.0000 0.0000 0.0000 (multiplicity 1)
Co1 0.3333 0.6667 0.5000 (multiplicity 1)
Se1 0.6667 0.3333 0.5000 (multiplicity 1)

## Properties
DFT total energy   -22.391 eV/atom